Compound: LiTbHo
Source: OQMD
Functional: PBE-GGA
Structure: optimized geometry

Lattice parameters (Å, degrees): 5.033 5.033 5.033 60.00 60.00 60.00
Positions (direct):
Ho: 0.500 0.500 0.500
Li: 0.250 0.250 0.250
Tb: 0.000 0.000 0.000

Computed properties:
- ΔE to the lowest computed polymorph: 0.0 kJ/mol of atoms
- V: 30.05 A^3/atom

---

Compound: LiHoTc
Source: OQMD
Functional: PBE-GGA
Structure: optimized geometry

Lattice parameters (Å, degrees): 4.342 4.342 4.342 60.00 60.00 60.00
Each line ends with the local moment (μB).
Positions (direct):
Tc: 0.000 0.000 0.000  1.08
Li: 0.250 0.250 0.250  -0.02
Ho: 0.500 0.500 0.500  -0.14

Computed properties:
- V: 19.29 A^3/atom
- Final energy: -4.872 eV/atom

---

Which formula does entry 2 have?
LiHoTc